[1]
{"formula": "UIr", "functional": "GGA-PBE", "state": "optimized geometry", "cell": [[5.6289, 0.0000, 0.0000], [0.0000, 10.5669, 0.0000], [-0.8949, 0.0000, 5.5350]], "species": ["U", "U", "U", "U", "U", "U", "U", "U", "Ir", "Ir", "Ir", "Ir", "Ir", "Ir", "Ir", "Ir"], "frac_coords": [[0.1049, 0.1334, 0.4094], [0.1049, 0.3666, 0.9094], [0.3633, 0.6386, 0.6540], [0.3633, 0.8614, 0.1540], [0.6367, 0.1386, 0.8460], [0.6367, 0.3614, 0.3460], [0.8951, 0.6334, 0.0906], [0.8951, 0.8666, 0.5906], [0.1459, 0.1028, 0.9120], [0.1459, 0.3972, 0.4120], [0.4029, 0.5997, 0.1593], [0.4029, 0.9003, 0.6593], [0.5971, 0.0997, 0.3407], [0.5971, 0.4003, 0.8407], [0.8541, 0.6028, 0.5880], [0.8541, 0.8972, 0.0880]], "formation_enthalpy_0k_ev_per_atom": -0.49, "m_tot_mub_per_cell": 13.4, "final_energy_ry_per_atom": -0.77619}

***

[2]
{"formula": "U5Ir", "functional": "GGA-PBE", "state": "optimized geometry", "cell": [[2.5376, -7.6590, 0.0000], [2.5376, 7.6590, 0.0000], [0.0000, 0.0000, 3.0243]], "species": ["U", "U", "U", "U", "U", "Ir"], "frac_coords": [[0.0000, 0.0000, 0.0000], [0.1576, 0.8424, 0.5000], [0.3294, 0.6706, 0.0000], [0.6706, 0.3294, 0.0000], [0.8424, 0.1576, 0.5000], [0.5000, 0.5000, 0.5000]], "formation_enthalpy_0k_ev_per_atom": -0.07, "m_tot_mub_per_cell": 0.0, "final_energy_ry_per_atom": -0.80523}

***

[3]
{"formula": "U4Ir", "functional": "GGA-PBE", "state": "optimized geometry", "cell": [[5.3154, 0.0000, 0.0000], [0.0000, 5.3154, 0.0000], [0.0000, 0.0000, 5.3154]], "species": ["U", "U", "U", "U", "Ir"], "frac_coords": [[0.0000, 0.0000, 0.0000], [0.0000, 0.5000, 0.5000], [0.5000, 0.0000, 0.5000], [0.5000, 0.5000, 0.0000], [0.5000, 0.5000, 0.5000]], "formation_enthalpy_0k_ev_per_atom": 0.93, "m_tot_mub_per_cell": 12.8, "final_energy_ry_per_atom": -0.72548}

***

[4]
{"formula": "UIr3", "functional": "GGA-PBE", "state": "optimized geometry", "cell": [[-2.0259, 2.0259, 4.0951], [2.0259, -2.0259, 4.0951], [2.0259, 2.0259, -4.0951]], "species": ["U", "Ir", "Ir", "Ir"], "frac_coords": [[0.0000, 0.0000, 0.0000], [0.2500, 0.7500, 0.5000], [0.5000, 0.5000, 0.0000], [0.7500, 0.2500, 0.5000]], "formation_enthalpy_0k_ev_per_atom": -0.41, "m_tot_mub_per_cell": 0.0, "final_energy_ry_per_atom": -0.72637}

***

[5]
{"formula": "UIr", "functional": "GGA-PBE", "state": "optimized geometry", "cell": [[5.5243, 0.0000, 0.0000], [0.9132, 6.6060, 0.0000], [2.2325, 2.0585, 8.1832]], "species": ["U", "U", "U", "U", "U", "U", "U", "U", "Ir", "Ir", "Ir", "Ir", "Ir", "Ir", "Ir", "Ir"], "frac_coords": [[0.0090, 0.0150, 0.2175], [0.1615, 0.5552, 0.0608], [0.2317, 0.4676, 0.6844], [0.3128, 0.1139, 0.9240], [0.6872, 0.8861, 0.0760], [0.7683, 0.5324, 0.3156], [0.8385, 0.4448, 0.9392], [0.9910, 0.9850, 0.7825], [0.0841, 0.2005, 0.4564], [0.2662, 0.5822, 0.3381], [0.4445, 0.8295, 0.4706], [0.4920, 0.2341, 0.2028], [0.5080, 0.7659, 0.7972], [0.5555, 0.1705, 0.5294], [0.7338, 0.4178, 0.6619], [0.9159, 0.7995, 0.5436]], "formation_enthalpy_0k_ev_per_atom": -0.33, "m_tot_mub_per_cell": 0.0, "final_energy_ry_per_atom": -0.76465}

***

[6]
{"formula": "UV2Ir", "functional": "GGA-PBE", "state": "optimized geometry", "cell": [[3.2036, 0.0000, 0.0000], [0.0000, 3.2036, 0.0000], [0.0000, 0.0000, 6.0575]], "species": ["U", "V", "V", "Ir"], "frac_coords": [[0.0000, 0.0000, 0.0000], [0.5000, 0.5000, 0.2457], [0.5000, 0.5000, 0.7543], [0.0000, 0.0000, 0.5000]], "formation_enthalpy_0k_ev_per_atom": 0.08, "m_tot_mub_per_cell": 0.8, "final_energy_ry_per_atom": -0.69962}

***

[7]
{"formula": "UV2Ir", "functional": "GGA-PBE", "state": "optimized geometry", "cell": [[0.0000, 3.1462, 3.1462], [3.1462, 0.0000, 3.1462], [3.1462, 3.1462, 0.0000]], "species": ["U", "V", "V", "Ir"], "frac_coords": [[0.0000, 0.0000, 0.0000], [0.2500, 0.2500, 0.2500], [0.7500, 0.7500, 0.7500], [0.5000, 0.5000, 0.5000]], "formation_enthalpy_0k_ev_per_atom": -0.02, "m_tot_mub_per_cell": 2.0, "final_energy_ry_per_atom": -0.70679}

***

[8]
{"formula": "UV2Ir", "functional": "GGA-PBE", "state": "optimized geometry", "cell": [[3.9702, 0.0000, 0.0000], [0.0000, 3.9702, 0.0000], [0.0000, 0.0000, 4.2154]], "species": ["U", "V", "V", "Ir"], "frac_coords": [[0.0000, 0.0000, 0.0000], [0.0000, 0.5000, 0.5000], [0.5000, 0.0000, 0.5000], [0.5000, 0.5000, 0.0000]], "formation_enthalpy_0k_ev_per_atom": -0.04, "m_tot_mub_per_cell": 4.0, "final_energy_ry_per_atom": -0.70832}

***

Number 1: mass density 17.4 Mg/m³. Number 2: mass density 19.5 Mg/m³. Number 3: mass density 12.7 Mg/m³. Number 4: mass density 20.1 Mg/m³. Number 5: mass density 19.1 Mg/m³. Number 6: mass density 14.2 Mg/m³. Number 7: mass density 14.2 Mg/m³. Number 8: mass density 13.3 Mg/m³.